[1]
The following is a PBE calculation of a relaxed structure of TbSbTe, from OQMD via LeMat-Bulk.

Summary:
- total magnetization (μB/f.u.) = 0.01
- space-group type = F-43m (216)
- DFT total energy (eV/atom) = -4.30
- volume (Å³/f.u.) = 97

a b c (Å): 5.156 5.156 5.156
angles (deg): 60.00 60.00 60.00
Fractional coordinates of all 3 atoms:
Te: 0.000 0.000 0.000
Sb: 0.250 0.250 0.250
Tb: 0.750 0.750 0.750

=====

[2]
The following is a PBE calculation of a relaxed structure of PPt, from OQMD via LeMat-Bulk.

Summary:
- total magnetization (μB/f.u.) = 0.00
- space-group type = Pmma (51)
- DFT total energy (eV/atom) = -5.86
- volume (Å³/f.u.) = 33

a b c (Å): 5.135 3.464 7.526
angles (deg): 90.00 90.00 90.00
Fractional coordinates of all 8 atoms:
Pt: 0.000 0.500 0.500
Pt: 0.500 0.500 0.500
Pt: 0.750 0.000 0.239
Pt: 0.250 0.000 0.760
P: 0.250 0.000 0.322
P: 0.250 0.500 0.963
P: 0.750 0.500 0.037
P: 0.750 0.000 0.678

=====

[3]
The following is a PBE calculation of a relaxed structure of TbCd20Ni2, from OQMD via LeMat-Bulk.

Summary:
- total magnetization (μB/f.u.) = 0.00
- space-group type = Fd-3m (227)
- DFT total energy (eV/atom) = -1.56
- volume (Å³/f.u.) = 470

a b c (Å): 10.998 10.998 10.998
angles (deg): 60.00 60.00 60.00
Fractional coordinates of all 46 atoms:
Cd: 0.422 0.948 0.948
Cd: 0.113 0.387 0.113
Cd: 0.387 0.113 0.387
Cd: 0.948 0.422 0.681
Cd: 0.569 0.828 0.302
Cd: 0.113 0.113 0.387
Cd: 0.569 0.302 0.828
Cd: 0.625 0.125 0.625
Cd: 0.948 0.948 0.422
Cd: 0.125 0.625 0.625
Cd: 0.863 0.137 0.863
Cd: 0.625 0.625 0.125
Cd: 0.302 0.569 0.302
Cd: 0.569 0.302 0.302
Cd: 0.828 0.569 0.302
Cd: 0.137 0.863 0.137
Cd: 0.828 0.302 0.569
Cd: 0.948 0.681 0.948
Cd: 0.863 0.863 0.137
Cd: 0.302 0.828 0.302
Cd: 0.302 0.302 0.828
Cd: 0.863 0.137 0.137
Cd: 0.681 0.948 0.948
Cd: 0.387 0.387 0.113
Cd: 0.302 0.569 0.828
Cd: 0.948 0.948 0.681
Cd: 0.948 0.422 0.948
Cd: 0.137 0.137 0.863
Cd: 0.113 0.387 0.387
Cd: 0.681 0.422 0.948
Cd: 0.302 0.302 0.569
Cd: 0.828 0.302 0.302
Cd: 0.387 0.113 0.113
Cd: 0.422 0.948 0.681
Cd: 0.948 0.681 0.422
Cd: 0.422 0.681 0.948
Cd: 0.302 0.828 0.569
Cd: 0.137 0.863 0.863
Cd: 0.625 0.625 0.625
Cd: 0.681 0.948 0.422
Ni: 0.125 0.125 0.125
Ni: 0.125 0.125 0.625
Ni: 0.125 0.625 0.125
Ni: 0.625 0.125 0.125
Tb: 0.750 0.750 0.750
Tb: 0.500 0.500 0.500

=====

[4]
The following is a PBE calculation of a relaxed structure of KCuTePbSe2, from OQMD via LeMat-Bulk.

Summary:
- space-group type = Cmcm (63)
- DFT total energy (eV/atom) = -3.51
- volume (Å³/f.u.) = 186

a b c (Å): 7.999 7.999 11.919
angles (deg): 90.00 90.00 150.80
Fractional coordinates of all 12 atoms:
Pb: 0.500 0.500 0.500
Pb: 0.500 0.500 0.000
Se: 0.876 0.124 0.925
Se: 0.124 0.876 0.075
Se: 0.876 0.124 0.575
Se: 0.124 0.876 0.425
Cu: 0.953 0.047 0.750
Cu: 0.047 0.953 0.250
Te: 0.566 0.434 0.750
Te: 0.434 0.566 0.250
K: 0.260 0.740 0.750
K: 0.740 0.260 0.250

=====

[5]
The following is a PBE calculation of a relaxed structure of NdDyCd, from OQMD via LeMat-Bulk.

Summary:
- total magnetization (μB/f.u.) = 0.00
- space-group type = F-43m (216)
- DFT total energy (eV/atom) = -3.00
- volume (Å³/f.u.) = 92

a b c (Å): 5.071 5.071 5.071
angles (deg): 60.00 60.00 60.00
Fractional coordinates of all 3 atoms:
Cd: 0.250 0.250 0.250
Dy: 0.000 0.000 0.000
Nd: 0.750 0.750 0.750

=====

[6]
The following is a PBE calculation of a relaxed structure of Li3AgN, from OQMD via LeMat-Bulk.

Summary:
- space-group type = Pm-3m (221)
- DFT total energy (eV/atom) = -3.51
- volume (Å³/f.u.) = 62

a b c (Å): 3.965 3.965 3.965
angles (deg): 90.00 90.00 90.00
Fractional coordinates of all 5 atoms:
N: 0.500 0.500 0.500
Ag: 0.000 0.000 0.000
Li: 0.500 0.000 0.500
Li: 0.000 0.500 0.500
Li: 0.500 0.500 0.000

=====

[7]
The following is a PBE calculation of a relaxed structure of BaTmO3, from OQMD via LeMat-Bulk.

Summary:
- total magnetization (μB/f.u.) = 1.00
- space-group type = P4mm (99)
- DFT total energy (eV/atom) = -6.50
- volume (Å³/f.u.) = 90

a b c (Å): 3.777 3.777 6.324
angles (deg): 90.00 90.00 90.00
Fractional coordinates of all 5 atoms:
O: 0.000 0.500 0.835
O: 0.500 0.000 0.835
O: 0.500 0.500 0.477
Tm: 0.000 0.000 0.665
Ba: 0.500 0.500 0.088

=====

[8]
The following is a PBE calculation of a relaxed structure of Dy3Er2Tm2Ni2Te2, from OQMD via LeMat-Bulk.

Summary:
- distance to the lowest polymorph of the same formula (eV per atom) = 0.0005
- total magnetization (μB/f.u.) = 0.01
- space-group type = Imm2 (44)
- volume (Å³/f.u.) = 282

a b c (Å): 9.297 9.297 9.297
angles (deg): 156.23 66.87 118.53
Fractional coordinates of all 11 atoms:
Te: 0.918 0.918 0.000
Te: 0.517 0.017 0.500
Ni: 0.489 0.753 0.736
Ni: 0.017 0.753 0.264
Er: 0.264 0.411 0.853
Er: 0.558 0.411 0.147
Tm: 0.875 0.061 0.815
Tm: 0.246 0.061 0.185
Dy: 0.182 0.682 0.500
Dy: 0.631 0.264 0.367
Dy: 0.897 0.264 0.633

=====

[9]
The following is a PBE calculation of a relaxed structure of NdPbO3, from OQMD via LeMat-Bulk.

Summary:
- total magnetization (μB/f.u.) = 0.00
- space-group type = Ima2 (46)
- DFT total energy (eV/atom) = -6.54
- volume (Å³/f.u.) = 80

a b c (Å): 6.013 6.013 6.013
angles (deg): 96.13 116.92 116.13
Fractional coordinates of all 10 atoms:
O: 0.649 0.649 0.000
O: 0.579 0.156 0.923
O: 0.963 0.868 0.595
O: 0.649 0.149 0.500
O: 0.233 0.656 0.077
O: 0.273 0.368 0.405
Nd: 0.287 0.287 0.000
Nd: 0.287 0.787 0.500
Pb: 0.787 0.033 0.254
Pb: 0.779 0.533 0.746

=====

[10]
The following is a PBE calculation of a relaxed structure of La2LuS3, from OQMD via LeMat-Bulk.

Summary:
- total magnetization (μB/f.u.) = 0.01
- space-group type = P-3m1 (164)
- DFT total energy (eV/atom) = -6.53
- volume (Å³/f.u.) = 139

a b c (Å): 3.998 3.998 10.055
angles (deg): 90.00 90.00 120.00
Fractional coordinates of all 6 atoms:
La: 0.333 0.667 0.172
La: 0.667 0.333 0.828
S: 0.000 0.000 0.000
S: 0.667 0.333 0.356
S: 0.333 0.667 0.644
Lu: 0.000 0.000 0.500

=====

[11]
The following is a PBE calculation of a relaxed structure of PrAgB, from OQMD via LeMat-Bulk.

Summary:
- distance to the lowest polymorph of the same formula (eV per atom) = 0.7027
- total magnetization (μB/f.u.) = 0.06
- space-group type = F-43m (216)
- volume (Å³/f.u.) = 73

a b c (Å): 4.694 4.694 4.694
angles (deg): 60.00 60.00 60.00
Fractional coordinates of all 3 atoms:
Ag: 0.250 0.250 0.250
Pr: 0.000 0.000 0.000
B: 0.750 0.750 0.750

=====

[12]
The following is a PBE calculation of a relaxed structure of Li3NdSm2Pb3, from OQMD via LeMat-Bulk.

Summary:
- total magnetization (μB/f.u.) = 0.00
- space-group type = P-6m2 (187)
- DFT total energy (eV/atom) = -3.95
- volume (Å³/f.u.) = 230

a b c (Å): 4.819 4.819 11.433
angles (deg): 90.00 90.00 120.00
Fractional coordinates of all 9 atoms:
Li: 0.667 0.333 0.191
Li: 0.667 0.333 0.809
Li: 0.333 0.667 0.500
Pb: 0.667 0.333 0.500
Pb: 0.333 0.667 0.175
Pb: 0.333 0.667 0.825
Sm: 0.000 0.000 0.337
Sm: 0.000 0.000 0.663
Nd: 0.000 0.000 0.000

=====

[13]
The following is a PBE calculation of a relaxed structure of ReMoPd, from OQMD via LeMat-Bulk.

Summary:
- distance to the lowest polymorph of the same formula (eV per atom) = 0.0000
- total magnetization (μB/f.u.) = 0.01
- space-group type = F-43m (216)
- volume (Å³/f.u.) = 54

a b c (Å): 4.246 4.246 4.246
angles (deg): 60.00 60.00 60.00
Fractional coordinates of all 3 atoms:
Re: 0.000 0.000 0.000
Pd: 0.750 0.750 0.750
Mo: 0.250 0.250 0.250

=====

[14]
The following is a PBE calculation of a relaxed structure of LaPrIBr2N, from OQMD via LeMat-Bulk.

Summary:
- distance to the lowest polymorph of the same formula (eV per atom) = 0.0107
- total magnetization (μB/f.u.) = 0.01
- space-group type = C2/m (12)
- volume (Å³/f.u.) = 207

a b c (Å): 10.173 10.173 12.416
angles (deg): 125.05 125.05 23.41
Fractional coordinates of all 12 atoms:
N: 0.426 0.426 0.348
N: 0.574 0.574 0.652
La: 0.864 0.864 0.215
La: 0.136 0.136 0.785
I: 0.223 0.223 0.626
I: 0.777 0.777 0.374
Br: 0.671 0.671 0.004
Br: 0.969 0.969 0.748
Br: 0.031 0.031 0.252
Br: 0.329 0.329 0.996
Pr: 0.571 0.571 0.458
Pr: 0.429 0.429 0.542

=====

[15]
The following is a PBE calculation of a relaxed structure of HfNiBPd, from OQMD via LeMat-Bulk.

Summary:
- distance to the lowest polymorph of the same formula (eV per atom) = 0.1398
- total magnetization (μB/f.u.) = 0.00
- space-group type = F-43m (216)
- volume (Å³/f.u.) = 54

a b c (Å): 4.255 4.255 4.255
angles (deg): 60.00 60.00 60.00
Fractional coordinates of all 4 atoms:
Ni: 0.750 0.750 0.750
Hf: 0.250 0.250 0.250
Pd: 0.500 0.500 0.500
B: 0.000 0.000 0.000

=====

[16]
The following is a PBE calculation of a relaxed structure of YMgCuGe, from OQMD via LeMat-Bulk.

Summary:
- distance to the lowest polymorph of the same formula (eV per atom) = 0.0000
- total magnetization (μB/f.u.) = 0.00
- space-group type = F-43m (216)
- volume (Å³/f.u.) = 77

a b c (Å): 4.782 4.782 4.782
angles (deg): 60.00 60.00 60.00
Fractional coordinates of all 4 atoms:
Y: 0.250 0.250 0.250
Mg: 0.500 0.500 0.500
Cu: 0.750 0.750 0.750
Ge: 0.000 0.000 0.000